Th2Si4Ir5 (PBE, relaxed); formation energy (no corrections) = -0.90 eV per atom; electronic total energy = -8.248 eV per atom; N(E_F) = 5.38 states/eV per cell; total moment = 0.000 μB/f.u.
1.0
-1.088 5.419 -1.071
-1.876 3.357 4.094
6.164 4.391 1.160
Si Th Ir
4 2 5
direct
0.522 0.693 0.263
0.215 0.307 0.263
0.785 0.693 0.737
0.478 0.307 0.737
0.867 0.000 0.267
0.133 0.000 0.733
0.000 0.500 0.000
0.250 0.500 0.500
0.500 0.000 0.000
0.750 0.500 0.500
0.500 0.500 0.000

***

Cu2TcAs (PBE, relaxed); electronic total energy = -5.597 eV per atom; N(E_F) = 2.27 states/eV per cell; total moment = 0.000 μB/f.u.; energy of formation from the pure elements = 79 kJ/mol of formula units
1.0
4.248 0.000 0.000
2.124 3.679 0.000
2.124 1.226 3.468
As Cu Tc
1 2 1
direct
0.500 0.500 0.500
0.000 0.000 0.000
0.250 0.250 0.250
0.750 0.750 0.750

***

> What is the electronic total energy in the second record?

-5.597 eV per atom

***

Please write out number 2 again, unchanged.
Cu2TcAs (PBE, relaxed); electronic total energy = -5.597 eV per atom; N(E_F) = 2.27 states/eV per cell; total moment = 0.000 μB/f.u.; energy of formation from the pure elements = 79 kJ/mol of formula units
1.0
4.248 0.000 0.000
2.124 3.679 0.000
2.124 1.226 3.468
As Cu Tc
1 2 1
direct
0.500 0.500 0.500
0.000 0.000 0.000
0.250 0.250 0.250
0.750 0.750 0.750

***

> Which value of electronic total energy does entry 1 give?

-8.248 eV per atom